1.
DFT (GGA-PBE) results for a relaxed structure of NaGa2H6.

Cell: 5.0442 5.0442 6.2622 Å, 66.25 66.25 60.00°
Closest atoms and distances in Å follow each position.
Positions (direct):
Ga: 0.7499 0.7499 0.7504  3 H 1.58
Ga: 0.5828 0.5828 0.2517  3 H 1.58
H: 0.2672 0.5542 0.2922  1 Ga 1.58
H: 0.7421 0.4663 0.7070  1 Ga 1.58
H: 0.5542 0.8864 0.2922  1 Ga 1.58
H: 0.0845 0.7421 0.7070  1 Ga 1.58
H: 0.4663 0.0845 0.7070  1 Ga 1.58
H: 0.8864 0.2672 0.2922  1 Ga 1.58
Na: 0.3323 0.3323 0.0030  6 H 2.33-2.34

Properties
**Space group**: R3 (146)
**Distance to the lowest polymorph of the same formula**: 111 meV/atom

---

2.
DFT (GGA-PBE) results for a relaxed structure of Zr2FePBr.

Cell: 4.9063 4.2514 4.9063 Å, 90.00 90.00 90.00°
Closest atoms and distances in Å follow each position.
Positions (direct):
Zr: 0.5000 0.0000 0.0000  2 Fe 2.45
Zr: 0.0000 0.0000 0.5000  2 Fe 2.45
Fe: 0.0000 0.0000 0.0000  2 Br 2.13
P: 0.5000 0.5000 0.5000  8 Zr 3.25, 4 Br 3.47
Br: 0.0000 0.5000 0.0000  2 Fe 2.13

Properties
**Space group**: P4/mmm (123)
**Uncorrected energy**: -6.259 eV per atom

---

3.
DFT (GGA-PBE) results for a relaxed structure of Pm2SmY4Mg.

Cell: 5.0020 5.0116 11.3732 Å, 63.87 90.00 90.00°
Closest atoms and distances in Å follow each position.
Positions (direct):
Pm: 0.5000 0.0000 0.5000  4 Sm 3.54, 8 Y 3.60
Pm: 0.0000 0.0000 0.0000  4 Mg 3.54, 8 Y 3.55
Y: 0.0000 0.2534 0.2466  4 Y 3.54, 2 Mg 3.55, 4 Pm 3.55-3.60, 2 Sm 3.60
Y: 0.5000 0.2464 0.7535  4 Y 3.54, 4 Pm 3.55-3.60, 2 Mg 3.55, 2 Sm 3.60
Y: 0.5000 0.7536 0.2465  4 Y 3.54, 4 Pm 3.55-3.60, 2 Mg 3.55, 2 Sm 3.60
Y: 0.0000 0.7466 0.7534  4 Y 3.54, 2 Mg 3.55, 4 Pm 3.55-3.60, 2 Sm 3.60
Sm: 0.0000 0.5000 0.5000  4 Pm 3.54, 8 Y 3.60
Mg: 0.5000 0.5000 0.0000  4 Pm 3.54, 8 Y 3.55

Properties
**Space group**: P4/mmm (123)
**Uncorrected energy**: -5.184 eV per atom